1.
Entry from Alexandria via LeMat-Bulk: a relaxed structure of LiNdMg (GGA-PBE).

Unit cell a=3.3053 b=5.2541 c=5.2541 alpha=120.00 beta=90.00 gamma=90.00
Last column: nearest neighbours and their distance in Å.
Positions (direct):
Mg1 0.1665 0.6667 0.3333  3 Li 3.03, 2 Mg 3.31
Nd1 0.6667 0.3333 0.6667  2 Nd 3.31, 6 Mg 3.45, 6 Li 3.45
Li1 0.1668 0.0000 0.0000  3 Mg 3.03, 2 Li 3.31

Values from the calculation:
calculated volume: 26.34 Å³ per atom
energy of formation from the pure elements: -0.019 eV per atom
ΔE to the lowest computed polymorph: 0.0092 eV/atom



2.
Entry from Alexandria via LeMat-Bulk: a relaxed structure of Li2Nd2Mg15 (GGA-PBE).

Unit cell a=7.7979 b=7.7979 c=7.7979 alpha=82.51 beta=82.51 gamma=82.51
Last column: nearest neighbours and their distance in Å.
Positions (direct):
Li1 0.0966 0.0966 0.0966  1 Li 2.93, 6 Mg 3.15-3.28
Li2 0.9034 0.9034 0.9034  1 Li 2.93, 6 Mg 3.15-3.28
Nd1 0.3323 0.3323 0.3323  1 Li 3.58, 18 Mg 3.58-4.00
Nd2 0.6677 0.6677 0.6677  1 Li 3.58, 18 Mg 3.58-4.00
Mg1 0.5000 0.0000 0.0000  8 Mg 2.99-3.00, 2 Li 3.15
Mg2 0.0000 0.0000 0.5000  8 Mg 2.99-3.00, 2 Li 3.15
Mg3 0.0000 0.5000 0.0000  8 Mg 2.99-3.00, 2 Li 3.15
Mg4 0.0000 0.6950 0.3050  8 Mg 2.99-3.17
Mg5 0.6950 0.3050 0.0000  8 Mg 2.99-3.17
Mg6 0.3050 0.0000 0.6950  8 Mg 2.99-3.17
Mg7 0.3050 0.6950 0.0000  8 Mg 2.99-3.17
Mg8 0.6950 0.0000 0.3050  8 Mg 2.99-3.17
Mg9 0.0000 0.3050 0.6950  8 Mg 2.99-3.17
Mg10 0.1595 0.6500 0.6500  8 Mg 2.94-3.17, 1 Li 3.28
Mg11 0.6500 0.6500 0.1595  8 Mg 2.94-3.17, 1 Li 3.28
Mg12 0.6500 0.1595 0.6500  8 Mg 2.94-3.17, 1 Li 3.28
Mg13 0.8405 0.3500 0.3500  8 Mg 2.94-3.17, 1 Li 3.28
Mg14 0.3500 0.3500 0.8405  8 Mg 2.94-3.17, 1 Li 3.28
Mg15 0.3500 0.8405 0.3500  8 Mg 2.94-3.17, 1 Li 3.28

Values from the calculation:
calculated volume: 24.37 Å³ per atom
energy of formation from the pure elements: -0.045 eV per atom



3.
Entry from Alexandria via LeMat-Bulk: a relaxed structure of LiNdMg2 (GGA-PBE).

Unit cell a=5.2318 b=3.3006 c=11.8643 alpha=98.00 beta=90.00 gamma=90.00
Last column: nearest neighbours and their distance in Å.
Positions (direct):
Li1 0.7500 0.3391 0.6783  5 Mg 2.99-3.08, 2 Li 3.30
Li2 0.2500 0.6609 0.3217  5 Mg 2.99-3.08, 2 Li 3.30
Nd1 0.2500 0.9031 0.8063  2 Nd 3.30, 8 Mg 3.43-3.53, 4 Li 3.44
Nd2 0.7500 0.0969 0.1937  2 Nd 3.30, 8 Mg 3.43-3.53, 4 Li 3.44
Mg1 0.2500 0.2703 0.5406  4 Li 3.06-3.08, 6 Mg 3.24-3.30
Mg2 0.7500 0.7297 0.4594  4 Li 3.06-3.08, 6 Mg 3.24-3.30
Mg3 0.7500 0.4663 0.9325  1 Li 2.99, 4 Mg 3.06-3.30
Mg4 0.2500 0.5337 0.0675  1 Li 2.99, 4 Mg 3.06-3.30

Values from the calculation:
calculated volume: 25.36 Å³ per atom
energy of formation from the pure elements: -0.043 eV per atom
ΔE to the lowest computed polymorph: 0.0249 eV/atom



4.
Entry from Alexandria via LeMat-Bulk: a relaxed structure of Li5NdMg4 (GGA-PBE).

Unit cell a=3.4895 b=3.4895 c=17.7986 alpha=90.00 beta=90.00 gamma=90.00
Last column: nearest neighbours and their distance in Å.
Positions (direct):
Li1 0.5000 0.5000 0.1288  4 Mg 2.93
Li2 0.5000 0.5000 0.3136  8 Mg 2.97-3.00, 2 Li 3.29-3.32
Li3 0.5000 0.5000 0.5000  8 Mg 2.98, 2 Li 3.32
Li4 0.5000 0.5000 0.6864  8 Mg 2.97-3.00, 2 Li 3.29-3.32
Li5 0.5000 0.5000 0.8712  4 Mg 2.93
Nd1 0.0000 0.0000 0.0000  8 Li 3.37, 4 Nd 3.49
Mg1 0.0000 0.0000 0.2178  8 Li 2.93-3.00
Mg2 0.0000 0.0000 0.4062  8 Li 2.97-2.98
Mg3 0.0000 0.0000 0.5938  8 Li 2.97-2.98
Mg4 0.0000 0.0000 0.7822  8 Li 2.93-3.00

Values from the calculation:
calculated volume: 21.67 Å³ per atom
energy of formation from the pure elements: -0.012 eV per atom



5.
Entry from Alexandria via LeMat-Bulk: a relaxed structure of Li2Nd3Mg7 (GGA-PBE).

Unit cell a=6.0783 b=6.0783 c=10.3069 alpha=72.85 beta=72.85 gamma=60.00
Last column: nearest neighbours and their distance in Å.
Positions (direct):
Li1 0.6663 0.6663 0.0010  6 Mg 2.91
Li2 0.3337 0.3337 0.9990  6 Mg 2.91
Nd1 0.0000 0.0000 0.0000  6 Li 3.51, 12 Mg 3.83
Nd2 0.8596 0.8596 0.4212  12 Mg 3.51-3.72, 3 Nd 3.83
Nd3 0.1404 0.1404 0.5788  12 Mg 3.51-3.72, 3 Nd 3.83
Mg1 0.5000 0.5000 0.5000  6 Mg 3.08
Mg2 0.9228 0.4187 0.2397  2 Li 2.91, 5 Mg 3.01-3.08
Mg3 0.4187 0.9228 0.2397  2 Li 2.91, 5 Mg 3.01-3.08
Mg4 0.4187 0.4187 0.2397  2 Li 2.91, 5 Mg 3.01-3.08
Mg5 0.0772 0.5813 0.7603  2 Li 2.91, 5 Mg 3.01-3.08
Mg6 0.5813 0.5813 0.7603  2 Li 2.91, 5 Mg 3.01-3.08
Mg7 0.5813 0.0772 0.7603  2 Li 2.91, 5 Mg 3.01-3.08

Values from the calculation:
calculated volume: 25.84 Å³ per atom
energy of formation from the pure elements: -0.051 eV per atom



6.
Entry from Alexandria via LeMat-Bulk: a relaxed structure of LiNd2Mg3 (GGA-PBE).

Unit cell a=6.1589 b=6.1589 c=9.7977 alpha=90.00 beta=90.00 gamma=120.00
Last column: nearest neighbours and their distance in Å.
Positions (direct):
Li1 0.0000 0.0000 0.5000  6 Mg 3.04
Li2 0.0000 0.0000 0.0000  6 Mg 3.04
Nd1 0.6667 0.3333 0.4283  4 Nd 3.49-3.82, 9 Mg 3.54-3.61, 3 Li 3.62
Nd2 0.3333 0.6667 0.5717  4 Nd 3.49-3.82, 9 Mg 3.54-3.61, 3 Li 3.62
Nd3 0.3333 0.6667 0.9283  4 Nd 3.49-3.82, 9 Mg 3.54-3.61, 3 Li 3.62
Nd4 0.6667 0.3333 0.0717  4 Nd 3.49-3.82, 9 Mg 3.54-3.61, 3 Li 3.62
Mg1 0.1687 0.3373 0.2500  2 Li 3.04, 4 Mg 3.04-3.12
Mg2 0.3373 0.1687 0.7500  2 Li 3.04, 4 Mg 3.04-3.12
Mg3 0.8313 0.6627 0.7500  2 Li 3.04, 4 Mg 3.04-3.12
Mg4 0.1687 0.8313 0.2500  2 Li 3.04, 4 Mg 3.04-3.12
Mg5 0.8313 0.1687 0.7500  2 Li 3.04, 4 Mg 3.04-3.12
Mg6 0.6627 0.8313 0.2500  2 Li 3.04, 4 Mg 3.04-3.12

Values from the calculation:
calculated volume: 26.82 Å³ per atom
energy of formation from the pure elements: -0.052 eV per atom
ΔE to the lowest computed polymorph: 0.0138 eV/atom



Magnetization in μB per formula unit, matching the order above: 0.000; 0.000; 0.000; 0.002; 0.000; 0.000
Mass density in g/cm³, matching the order above: 3.7; 2.4; 3.3; 2.1; 3.3; 3.8